# AcPuPaSn | the Alexandria database | PBE | relaxed
data_AcPuPaSn
_chemical_formula_sum 'Ac4 Pu4 Pa4 Sn4'
_space_group_name_H-M_alt 'F -4 3 m'
_space_group_IT_number 216
_space_group_name_Hall 'F -4 2 3'
_cell_length_a 7.750
_cell_length_b 7.750
_cell_length_c 7.750
_cell_angle_alpha 90.00
_cell_angle_beta 90.00
_cell_angle_gamma 90.00
loop_
_atom_site_label
_atom_site_fract_x
_atom_site_fract_y
_atom_site_fract_z
_atom_site_occupancy
Ac1 0.000 0.000 0.000 1
Pu1 0.000 0.000 0.500 1
Pa1 0.250 0.250 0.250 1
Sn1 0.250 0.250 0.750 1
# D(E_F) ... 1.9502 states/eV/atom
# Energy of formation ... 3.3 kcal/mol of atoms
# Total moment ... 7.6 μB/f.u.
# Calculated total energy ... -125.4 eV for the cell shown